AuOF: optimized geometry, PBE.

Lattice parameters (Å, degrees): 5.469 5.469 6.216 110.02 110.02 102.82
Sites, in units of the cell vectors:
O (0.759, 0.009, 0.018)
O (0.241, 0.991, 0.982)
Au (0.419, 0.081, 0.750)
Au (0.581, 0.919, 0.250)
Au (0.169, 0.331, 0.250)
F (0.000, 0.000, 0.500)
O (0.491, 0.741, 0.482)
Au (0.831, 0.669, 0.750)
O (0.509, 0.259, 0.518)
F (0.500, 0.500, 0.000)
F (0.000, 0.500, 0.500)
F (0.000, 0.500, 0.000)

Computed properties:
Energy above the most stable polymorph in this dataset = 0.124 eV per atom


AuOF: optimized geometry, PBE.

Lattice parameters (Å, degrees): 6.015 5.080 5.256 90.01 90.41 90.00
Sites, in units of the cell vectors:
F (0.361, 0.684, 0.034)
Au (0.248, 0.022, 0.218)
O (0.133, 0.167, 0.894)
Au (0.752, 0.522, 0.282)
O (0.868, 0.667, 0.606)
Au (0.752, 0.978, 0.782)
Au (0.248, 0.478, 0.718)
F (0.639, 0.316, 0.966)
F (0.361, 0.816, 0.534)
O (0.132, 0.333, 0.394)
O (0.867, 0.833, 0.106)
F (0.639, 0.184, 0.466)

Computed properties:
Energy above the most stable polymorph in this dataset = 0.034 eV per atom


AuOF: optimized geometry, PBE.

Lattice parameters (Å, degrees): 3.767 3.767 5.149 90.00 90.00 90.00
Sites, in units of the cell vectors:
Au (0.500, 0.000, 0.290)
F (0.000, 0.000, 0.000)
O (0.500, 0.500, 0.500)
F (0.500, 0.500, 0.000)
O (0.000, 0.000, 0.500)
Au (0.000, 0.500, 0.710)

Computed properties:
Energy above the most stable polymorph in this dataset = 0.325 eV per atom


AuO2F: optimized geometry, PBE.

Lattice parameters (Å, degrees): 5.159 3.895 5.340 90.00 97.16 90.00
Sites, in units of the cell vectors:
Au (0.775, 0.416, 0.775)
O (0.735, 0.123, 0.459)
Au (0.225, 0.916, 0.225)
O (0.549, 0.211, 0.277)
F (0.863, 0.668, 0.124)
F (0.137, 0.168, 0.876)
O (0.265, 0.623, 0.541)
O (0.451, 0.711, 0.723)

Computed properties:
Final energy = -4.0375 eV per atom


AuOF: optimized geometry, PBE.

Lattice parameters (Å, degrees): 4.901 4.901 6.664 90.00 90.00 90.00
Sites, in units of the cell vectors:
F (0.259, 0.741, 0.750)
Au (0.544, 0.456, 0.750)
F (0.741, 0.259, 0.250)
F (0.759, 0.759, 0.000)
O (0.166, 0.834, 0.250)
O (0.666, 0.666, 0.500)
Au (0.956, 0.956, 0.500)
O (0.334, 0.334, 0.000)
Au (0.044, 0.044, 0.000)
Au (0.456, 0.544, 0.250)
F (0.241, 0.241, 0.500)
O (0.834, 0.166, 0.750)

Computed properties:
Energy above the most stable polymorph in this dataset = 0.000 eV per atom


AuOF: optimized geometry, PBE.

Lattice parameters (Å, degrees): 10.485 5.495 10.783 90.00 90.00 90.00
Sites, in units of the cell vectors:
Au (0.631, 0.775, 0.264)
Au (0.872, 0.658, 0.497)
O (0.518, 0.947, 0.384)
Au (0.628, 0.158, 0.497)
O (0.277, 0.084, 0.112)
O (0.018, 0.553, 0.616)
Au (0.631, 0.725, 0.764)
O (0.018, 0.947, 0.116)
O (0.223, 0.916, 0.612)
F (0.760, 0.658, 0.130)
F (0.740, 0.342, 0.630)
F (0.028, 0.561, 0.869)
F (0.528, 0.939, 0.131)
F (0.240, 0.342, 0.870)
Au (0.872, 0.842, 0.997)
F (0.972, 0.061, 0.631)
Au (0.869, 0.275, 0.264)
F (0.760, 0.842, 0.630)
O (0.982, 0.447, 0.384)
O (0.723, 0.584, 0.388)
Au (0.131, 0.725, 0.736)
O (0.482, 0.053, 0.616)
O (0.223, 0.584, 0.112)
F (0.260, 0.658, 0.370)
Au (0.372, 0.658, 0.003)
F (0.972, 0.439, 0.131)
F (0.472, 0.439, 0.369)
Au (0.869, 0.225, 0.764)
F (0.028, 0.939, 0.369)
Au (0.131, 0.775, 0.236)
O (0.518, 0.553, 0.884)
F (0.472, 0.061, 0.869)
Au (0.628, 0.342, 0.997)
F (0.260, 0.842, 0.870)
Au (0.369, 0.275, 0.236)
O (0.777, 0.416, 0.888)
O (0.777, 0.084, 0.388)
O (0.482, 0.447, 0.116)
Au (0.372, 0.842, 0.503)
Au (0.128, 0.158, 0.003)
F (0.240, 0.158, 0.370)
O (0.982, 0.053, 0.884)
Au (0.369, 0.225, 0.736)
F (0.528, 0.561, 0.631)
F (0.740, 0.158, 0.130)
O (0.277, 0.416, 0.612)
O (0.723, 0.916, 0.888)
Au (0.128, 0.342, 0.503)

Computed properties:
Energy above the most stable polymorph in this dataset = 0.045 eV per atom


AuOF: optimized geometry, PBE.

Lattice parameters (Å, degrees): 3.924 3.924 6.093 108.78 108.78 60.00
Sites, in units of the cell vectors:
O (0.877, 0.877, 0.630)
F (0.360, 0.360, 0.080)
Au (0.760, 0.760, 0.279)
O (0.123, 0.123, 0.370)
F (0.640, 0.640, 0.920)
Au (0.240, 0.240, 0.721)

Computed properties:
Energy above the most stable polymorph in this dataset = 0.223 eV per atom


AuOF: optimized geometry, PBE.

Lattice parameters (Å, degrees): 8.480 4.042 4.588 90.00 90.00 90.00
Sites, in units of the cell vectors:
Au (0.047, 0.250, 0.252)
O (0.498, 0.750, 0.254)
Au (0.547, 0.250, 0.248)
F (0.208, 0.750, 0.731)
O (0.998, 0.750, 0.246)
O (0.502, 0.250, 0.746)
O (0.002, 0.250, 0.754)
F (0.708, 0.750, 0.769)
F (0.292, 0.250, 0.231)
Au (0.453, 0.750, 0.752)
Au (0.953, 0.750, 0.748)
F (0.792, 0.250, 0.269)

Computed properties:
Energy above the most stable polymorph in this dataset = 0.218 eV per atom


| no. | calculated density (Mg/m³) |
| --- | --- |
| 1 | 10.17 |
| 2 | 9.59 |
| 3 | 10.54 |
| 4 | 7.74 |
| 5 | 9.62 |
| 6 | 9.92 |
| 7 | 10.22 |
| 8 | 9.80 |